# 1
DFT (PBE) results for a relaxed KTaIn2 crystal.

Cell: 10.068 10.068 10.068 Å, 146.60 146.60 47.95°
Atoms (fractional coordinates):
K1 0.000 0.000 0.000
K2 0.750 0.250 0.500
Ta1 0.250 0.750 0.500
Ta2 0.500 0.500 0.000
In1 0.268 0.625 0.143
In2 0.375 0.518 0.643
In3 0.482 0.125 0.857
In4 0.875 0.732 0.357

Values from the calculation:
* DFT total energy: -3.65 eV/atom
* D(E_F): 4.2 states/eV per cell
* total moment: 0.0 μB/f.u.
* E_form: 955.4 meV per atom
* calculated volume: 38.5 Å³/atom
* energy above the most stable polymorph in this dataset: 718.6 meV/atom



# 2
DFT (PBE) results for a relaxed AcMgC crystal.

Cell: 4.068 4.069 12.689 Å, 80.91 81.02 60.09°
Atoms (fractional coordinates):
Ac1 0.228 0.226 0.330
Ac2 0.772 0.774 0.670
Mg1 0.363 0.361 0.908
Mg2 0.637 0.639 0.092
C1 0.415 0.417 0.742
C2 0.585 0.583 0.258

Values from the calculation:
* DFT total energy: -4.48 eV/atom
* D(E_F): 4.0 states/eV per cell
* total moment: 0.0 μB/f.u.
* E_form: 492.6 meV per atom
* calculated volume: 29.8 Å³/atom



# 3
DFT (PBE) results for a relaxed MgTeCl2 crystal.

Cell: 12.531 12.531 12.531 Å, 15.90 15.90 15.90°
Atoms (fractional coordinates):
Mg1 0.000 0.000 0.000
Te1 0.500 0.500 0.500
Cl1 0.372 0.372 0.372
Cl2 0.628 0.628 0.628

Values from the calculation:
* energy relative to the elements, uncorrected: -1190 meV/atom
* DFT total energy: -3.30 eV/atom
* D(E_F): 1.2 states/eV per cell
* total moment: 0.3 μB/f.u.
* calculated volume: 32.2 Å³/atom
* energy above the most stable polymorph in this dataset: 3.1 meV/atom



# 4
DFT (PBE) results for a relaxed EuFeSn2 crystal.

Cell: 6.429 6.429 6.429 Å, 40.07 40.07 40.07°
Atoms (fractional coordinates):
Eu1 0.000 0.000 0.000
Fe1 0.500 0.500 0.500
Sn1 0.219 0.219 0.219
Sn2 0.781 0.781 0.781

Values from the calculation:
* DFT total energy: -6.89 eV/atom
* D(E_F): 14.1 states/eV per cell
* total moment: 9.1 μB/f.u.
* E_form: -200.6 meV per atom
* calculated volume: 24.8 Å³/atom



# 5
DFT (PBE) results for a relaxed Sr8TlZn2 crystal.

Cell: 9.069 9.069 6.299 Å, 98.83 98.83 111.94°
Atoms (fractional coordinates):
Sr1 0.000 0.000 0.000
Sr2 0.045 0.304 0.602
Sr3 0.136 0.606 0.190
Sr4 0.304 0.045 0.602
Sr5 0.438 0.698 0.777
Sr6 0.606 0.136 0.190
Sr7 0.698 0.438 0.777
Sr8 0.740 0.740 0.380
Tl1 0.369 0.369 0.215
Zn1 0.056 0.686 0.689
Zn2 0.686 0.056 0.689

Values from the calculation:
* DFT total energy: -1.77 eV/atom
* D(E_F): 10.7 states/eV per cell
* total moment: 0.0 μB/f.u.
* E_form: -95.4 meV per atom
* calculated volume: 42.0 Å³/atom
* energy above the most stable polymorph in this dataset: 29.4 meV/atom



# 6
DFT (PBE) results for a relaxed BaSmHg4 crystal.

Cell: 6.207 6.207 6.207 Å, 60.00 60.00 60.00°
Atoms (fractional coordinates):
Ba1 0.000 0.000 0.000
Sm1 0.250 0.250 0.250
Hg1 0.127 0.624 0.624
Hg2 0.624 0.127 0.624
Hg3 0.624 0.624 0.127
Hg4 0.624 0.624 0.624

Values from the calculation:
* DFT total energy: -1.56 eV/atom
* D(E_F): 6.9 states/eV per cell
* total moment: 0.0 μB/f.u.
* E_form: -253.4 meV per atom
* calculated volume: 28.2 Å³/atom
* energy above the most stable polymorph in this dataset: 158.8 meV/atom



# 7
DFT (PBE) results for a relaxed NaTe2SeN crystal.

Cell: 5.596 5.596 4.246 Å, 90.00 90.00 90.00°
Atoms (fractional coordinates):
Na1 0.000 0.000 0.000
Te1 0.000 0.500 0.000
Te2 0.500 0.000 0.000
Se1 0.500 0.500 0.500
N1 0.000 0.000 0.500

Values from the calculation:
* energy relative to the elements, uncorrected: 1291 meV/atom
* DFT total energy: -2.59 eV/atom
* D(E_F): 4.5 states/eV per cell
* total moment: 2.3 μB/f.u.
* calculated volume: 26.6 Å³/atom
* energy above the most stable polymorph in this dataset: 769.4 meV/atom



# 8
DFT (PBE) results for a relaxed Ca8AgAu2 crystal.

Cell: 8.186 8.186 6.061 Å, 99.12 99.12 111.60°
Atoms (fractional coordinates):
Ca1 0.000 0.000 0.000
Ca2 0.040 0.300 0.605
Ca3 0.144 0.603 0.194
Ca4 0.300 0.040 0.605
Ca5 0.443 0.704 0.793
Ca6 0.603 0.144 0.194
Ca7 0.704 0.443 0.793
Ca8 0.740 0.740 0.381
Ag1 0.370 0.370 0.052
Au1 0.056 0.682 0.688
Au2 0.682 0.056 0.688

Values from the calculation:
* DFT total energy: -2.67 eV/atom
* D(E_F): 8.7 states/eV per cell
* total moment: 0.0 μB/f.u.
* E_form: -361.4 meV per atom
* calculated volume: 32.9 Å³/atom



# 9
DFT (PBE) results for a relaxed SrTcOs2 crystal.

Cell: 2.940 4.816 4.891 Å, 90.00 90.00 90.00°
Atoms (fractional coordinates):
Sr1 0.000 0.000 0.000
Tc1 0.500 0.500 0.000
Os1 0.000 0.500 0.500
Os2 0.500 0.000 0.500

Values from the calculation:
* DFT total energy: -7.48 eV/atom
* D(E_F): 5.3 states/eV per cell
* total moment: 0.7 μB/f.u.
* E_form: 1148.6 meV per atom
* calculated volume: 17.3 Å³/atom
* energy above the most stable polymorph in this dataset: 538.4 meV/atom



# 10
DFT (PBE) results for a relaxed SiIrAu crystal.

Cell: 4.057 4.057 7.278 Å, 106.19 106.19 59.90°
Atoms (fractional coordinates):
Si1 0.096 0.096 0.287
Si2 0.904 0.904 0.713
Ir1 0.211 0.211 0.633
Ir2 0.789 0.789 0.367
Au1 0.373 0.373 0.120
Au2 0.627 0.627 0.880

Values from the calculation:
* energy relative to the elements, uncorrected: -317 meV/atom
* DFT total energy: -6.17 eV/atom
* D(E_F): 1.2 states/eV per cell
* total moment: 0.0 μB/f.u.
* calculated volume: 16.4 Å³/atom
* energy above the most stable polymorph in this dataset: 0.0 meV/atom